Mg2CoCl2 after structural relaxation, computed with PBE.

Unit cell a=7.6372 b=7.6372 c=3.3572 alpha=90.00 beta=90.00 gamma=90.00
Sites, in units of the cell vectors:
Mg  0.7999  0.2999  0.5000
Mg  0.7001  0.7999  0.5000
Mg  0.2001  0.7001  0.5000
Mg  0.2999  0.2001  0.5000
Co  0.5000  0.5000  0.0000
Co  0.0000  0.0000  0.0000
Cl  0.8672  0.6328  0.0000
Cl  0.3672  0.8672  0.0000
Cl  0.1328  0.3672  0.0000
Cl  0.6328  0.1328  0.0000

Calculated values
Excess energy over the best structure of this formula in the dataset in kcal/mol of atoms: 3.26
SG: No. 127
Total energy in eV/atom: -2.8947
ΔE_f (raw) in eV/f.u.: -0.5



AcSmEuCd after structural relaxation, computed with PBE.

Unit cell a=5.7890 b=5.7890 c=5.7890 alpha=60.00 beta=60.00 gamma=60.00
Sites, in units of the cell vectors:
Ac  0.2500  0.2500  0.2500
Sm  0.5000  0.5000  0.5000
Cd  0.7500  0.7500  0.7500
Eu  0.0000  0.0000  0.0000

Calculated values
E_form in meV/atom: 54
SG: No. 216
Total energy in eV/atom: -4.9502



> total energy of number 1 (Mg2CoCl2)?

-2.8947 eV/atom



> Among the records above, which one has the highest total energy?

Mg2CoCl2